one:
Compound: PmGaMo
Source: the Open Quantum Materials Database
Functional: GGA-PBE
Structure: relaxed

a b c (Å): 4.6191 4.6191 4.6191
angles (deg): 60.00 60.00 60.00
Last column: magnetic moment on the atom in μB.
Sites, in units of the cell vectors:
Ga  0.0000  0.0000  0.0000  -0.05
Pm  0.7500  0.7500  0.7500  -0.05
Mo  0.2500  0.2500  0.2500  1.11

Total moment = 1.112 μB/cell

two:
Compound: PmGaMo
Source: the Open Quantum Materials Database
Functional: GGA-PBE
Structure: relaxed

a b c (Å): 4.8583 4.8583 4.8583
angles (deg): 60.00 60.00 60.00
Last column: magnetic moment on the atom in μB.
Sites, in units of the cell vectors:
Ga  0.0000  0.0000  0.0000  -0.07
Pm  0.7500  0.7500  0.7500  0.19
Mo  0.5000  0.5000  0.5000  2.74

Total moment = 3.346 μB/cell

Most stable structure - one; separation to the second - 715 meV per atom.